# 1
A relaxed Li6Tb crystal. Source: Alexandria, functional GGA-PBE.

Lattice parameters (Å, degrees): 5.9148 5.9148 5.9148 109.47 109.47 109.47
Atoms (fractional coordinates):
Li 0.2500 0.7500 0.5000
Li 0.5000 0.7500 0.2500
Li 0.2500 0.5000 0.7500
Li 0.7500 0.2500 0.5000
Li 0.5000 0.2500 0.7500
Li 0.7500 0.5000 0.2500
Tb 0.0000 0.0000 0.0000

Properties
- Spin magnetization: 0.0 μB per formula unit
- Calculated density: 2.09 Mg/m³
- Calculated volume: 22.756 Å³/atom
- Calculated formation energy: 0.39 eV per atom

***

# 2
A relaxed LiTb3 crystal. Source: Alexandria, functional GGA-PBE.

Lattice parameters (Å, degrees): 3.4009 3.3250 10.8330 90.00 90.00 90.00
Last column: magnetic moment on the atom in μB.
Atoms (fractional coordinates):
Tb 0.0000 0.5000 0.4717  0.02
Tb 0.5000 0.5000 0.1914  0.09
Tb 0.5000 0.0000 0.7055  0.00
Li 0.0000 0.0000 0.9647  0.00

Properties
- Relative energy among the computed polymorphs: 0.194 eV per atom
- Spin magnetization: 0.2 μB per formula unit
- Calculated density: 6.56 Mg/m³
- Calculated volume: 30.625 Å³/atom
- Calculated formation energy: 0.27 eV per atom

***

# 3
A relaxed Li5Tb crystal. Source: Alexandria, functional GGA-PBE.

Lattice parameters (Å, degrees): 3.3130 5.2829 8.1522 108.91 90.00 90.00
Atoms (fractional coordinates):
Tb 0.0000 0.0000 0.0000
Li 0.0000 0.6527 0.3055
Li 0.0000 0.3473 0.6945
Li 0.5000 0.5000 0.0000
Li 0.5000 0.1859 0.3718
Li 0.5000 0.8141 0.6282

Properties
- Spin magnetization: 0.0 μB per formula unit
- Calculated density: 2.38 Mg/m³
- Calculated volume: 22.498 Å³/atom
- Calculated formation energy: 0.10 eV per atom